1.
NbTcAsO | GGA-PBE | optimized geometry

Geometry as CIF:
```
data_NbTcAsO
_chemical_formula_sum 'Nb2 Tc2 As2 O2'
_space_group_name_H-M_alt 'P m c 21'
_space_group_IT_number 26
_cell_length_a 4.109
_cell_length_b 5.497
_cell_length_c 5.260
_cell_angle_alpha 90.00
_cell_angle_beta 90.00
_cell_angle_gamma 90.00
loop_
_space_group_symop_operation_xyz
'x,y,z'
'-x,-y,z+1/2'
'-x,y,z'
'x,-y,z+1/2'
loop_
_atom_site_label
_atom_site_fract_x
_atom_site_fract_y
_atom_site_fract_z
Nb1 0.000 0.202 0.000
Tc1 0.500 0.497 0.747
As1 0.000 0.283 0.500
O1 0.500 0.191 0.000
```

Calculated values
Crystal system: orthorhombic
Relative energy among the computed polymorphs, meV/atom: 0
Uncorrected energy, eV/atom: -8.35


2.
NbTcAsO | GGA-PBE | optimized geometry

Geometry as CIF:
```
data_NbTcAsO
_chemical_formula_sum 'Nb2 Tc2 As2 O2'
_space_group_name_H-M_alt 'P 4/n m m'
_space_group_IT_number 129
_cell_length_a 3.830
_cell_length_b 3.830
_cell_length_c 7.478
_cell_angle_alpha 90.00
_cell_angle_beta 90.00
_cell_angle_gamma 90.00
loop_
_space_group_symop_operation_xyz
'x,y,z'
'-x,-y,-z'
'-y+1/2,x,z'
'y+1/2,-x,-z'
'-x+1/2,-y+1/2,z'
'x+1/2,y+1/2,-z'
'y,-x+1/2,z'
'-y,x+1/2,-z'
'x+1/2,-y,-z'
'-x+1/2,y,z'
'-y,-x,-z'
'y,x,z'
'-x,y+1/2,-z'
'x,-y+1/2,z'
'y+1/2,x+1/2,-z'
'-y+1/2,-x+1/2,z'
loop_
_atom_site_label
_atom_site_fract_x
_atom_site_fract_y
_atom_site_fract_z
Nb1 0.250 0.750 0.000
Tc1 0.250 0.250 0.335
As1 0.250 0.250 0.740
O1 0.250 0.750 0.500
```

Calculated values
Crystal system: tetragonal
Relative energy among the computed polymorphs, meV/atom: 691
Uncorrected energy, eV/atom: -7.66


3.
NbTeAsO | GGA-PBE | optimized geometry

Geometry as CIF:
```
data_NbTeAsO
_chemical_formula_sum 'Nb2 Te2 As2 O2'
_space_group_name_H-M_alt 'P 4/n m m'
_space_group_IT_number 129
_cell_length_a 3.985
_cell_length_b 3.985
_cell_length_c 10.216
_cell_angle_alpha 90.00
_cell_angle_beta 90.00
_cell_angle_gamma 90.00
loop_
_space_group_symop_operation_xyz
'x,y,z'
'-x,-y,-z'
'-y+1/2,x,z'
'y+1/2,-x,-z'
'-x+1/2,-y+1/2,z'
'x+1/2,y+1/2,-z'
'y,-x+1/2,z'
'-y,x+1/2,-z'
'x+1/2,-y,-z'
'-x+1/2,y,z'
'-y,-x,-z'
'y,x,z'
'-x,y+1/2,-z'
'x,-y+1/2,z'
'y+1/2,x+1/2,-z'
'-y+1/2,-x+1/2,z'
loop_
_atom_site_label
_atom_site_fract_x
_atom_site_fract_y
_atom_site_fract_z
Nb1 0.250 0.250 0.083
Te1 0.250 0.750 0.500
As1 0.250 0.250 0.802
O1 0.250 0.750 0.000
```

Calculated values
Crystal system: tetragonal
Relative energy among the computed polymorphs, meV/atom: 470
Uncorrected energy, eV/atom: -6.09


4.
NbTeAsO | GGA-PBE | optimized geometry

Geometry as CIF:
```
data_NbTeAsO
_chemical_formula_sum 'Nb2 Te2 As2 O2'
_space_group_name_H-M_alt 'P m c 21'
_space_group_IT_number 26
_cell_length_a 3.584
_cell_length_b 7.461
_cell_length_c 7.355
_cell_angle_alpha 90.00
_cell_angle_beta 90.00
_cell_angle_gamma 90.00
loop_
_space_group_symop_operation_xyz
'x,y,z'
'-x,-y,z+1/2'
'-x,y,z'
'x,-y,z+1/2'
loop_
_atom_site_label
_atom_site_fract_x
_atom_site_fract_y
_atom_site_fract_z
Nb1 0.000 0.041 0.000
Te1 0.500 0.260 0.564
As1 0.500 0.292 0.918
O1 0.000 0.085 0.251
```

Calculated values
Crystal system: orthorhombic
Relative energy among the computed polymorphs, meV/atom: 0
Uncorrected energy, eV/atom: -6.56


5.
NbTeAsO | GGA-PBE | optimized geometry

Geometry as CIF:
```
data_NbTeAsO
_chemical_formula_sum 'Nb2 Te2 As2 O2'
_space_group_name_H-M_alt 'P 4/n m m'
_space_group_IT_number 129
_cell_length_a 3.936
_cell_length_b 3.936
_cell_length_c 9.070
_cell_angle_alpha 90.00
_cell_angle_beta 90.00
_cell_angle_gamma 90.00
loop_
_space_group_symop_operation_xyz
'x,y,z'
'-x,-y,-z'
'-y+1/2,x,z'
'y+1/2,-x,-z'
'-x+1/2,-y+1/2,z'
'x+1/2,y+1/2,-z'
'y,-x+1/2,z'
'-y,x+1/2,-z'
'x+1/2,-y,-z'
'-x+1/2,y,z'
'-y,-x,-z'
'y,x,z'
'-x,y+1/2,-z'
'x,-y+1/2,z'
'y+1/2,x+1/2,-z'
'-y+1/2,-x+1/2,z'
loop_
_atom_site_label
_atom_site_fract_x
_atom_site_fract_y
_atom_site_fract_z
Nb1 0.250 0.750 0.000
Te1 0.250 0.250 0.361
As1 0.250 0.250 0.792
O1 0.250 0.750 0.500
```

Calculated values
Crystal system: tetragonal
Relative energy among the computed polymorphs, meV/atom: 819
Uncorrected energy, eV/atom: -5.74


6.
NbTeAsO | GGA-PBE | optimized geometry

Geometry as CIF:
```
data_NbTeAsO
_chemical_formula_sum 'Nb2 Te2 As2 O2'
_space_group_name_H-M_alt 'P m c 21'
_space_group_IT_number 26
_cell_length_a 3.352
_cell_length_b 8.718
_cell_length_c 6.052
_cell_angle_alpha 90.00
_cell_angle_beta 90.00
_cell_angle_gamma 90.00
loop_
_space_group_symop_operation_xyz
'x,y,z'
'-x,-y,z+1/2'
'-x,y,z'
'x,-y,z+1/2'
loop_
_atom_site_label
_atom_site_fract_x
_atom_site_fract_y
_atom_site_fract_z
Nb1 0.000 0.227 0.000
Te1 0.500 0.263 0.612
As1 0.000 0.056 0.350
O1 0.500 0.329 0.090
```

Calculated values
Crystal system: orthorhombic
Relative energy among the computed polymorphs, meV/atom: 121
Uncorrected energy, eV/atom: -6.44


7.
TmNbAsO | GGA-PBE | optimized geometry

Geometry as CIF:
```
data_TmNbAsO
_chemical_formula_sum 'Tm2 Nb2 As2 O2'
_space_group_name_H-M_alt 'P 4/n m m'
_space_group_IT_number 129
_cell_length_a 4.050
_cell_length_b 4.050
_cell_length_c 8.012
_cell_angle_alpha 90.00
_cell_angle_beta 90.00
_cell_angle_gamma 90.00
loop_
_space_group_symop_operation_xyz
'x,y,z'
'-x,-y,-z'
'-y+1/2,x,z'
'y+1/2,-x,-z'
'-x+1/2,-y+1/2,z'
'x+1/2,y+1/2,-z'
'y,-x+1/2,z'
'-y,x+1/2,-z'
'x+1/2,-y,-z'
'-x+1/2,y,z'
'-y,-x,-z'
'y,x,z'
'-x,y+1/2,-z'
'x,-y+1/2,z'
'y+1/2,x+1/2,-z'
'-y+1/2,-x+1/2,z'
loop_
_atom_site_label
_atom_site_fract_x
_atom_site_fract_y
_atom_site_fract_z
Tm1 0.250 0.750 0.000
Nb1 0.250 0.250 0.380
As1 0.250 0.250 0.751
O1 0.250 0.750 0.500
```

Calculated values
Crystal system: tetragonal
Relative energy among the computed polymorphs, meV/atom: 1123
Uncorrected energy, eV/atom: -6.83


8.
TmNbAsO | GGA-PBE | optimized geometry

Geometry as CIF:
```
data_TmNbAsO
_chemical_formula_sum 'Tm2 Nb2 As2 O2'
_space_group_name_H-M_alt 'P m c 21'
_space_group_IT_number 26
_cell_length_a 4.170
_cell_length_b 5.019
_cell_length_c 6.510
_cell_angle_alpha 90.00
_cell_angle_beta 90.00
_cell_angle_gamma 90.00
loop_
_space_group_symop_operation_xyz
'x,y,z'
'-x,-y,z+1/2'
'-x,y,z'
'x,-y,z+1/2'
loop_
_atom_site_label
_atom_site_fract_x
_atom_site_fract_y
_atom_site_fract_z
Tm1 0.000 0.198 0.000
Nb1 0.500 0.379 0.339
As1 0.500 0.127 0.691
O1 0.000 0.393 0.328
```

Calculated values
Crystal system: orthorhombic
Relative energy among the computed polymorphs, meV/atom: 269
Uncorrected energy, eV/atom: -7.69


9.
TmNbAsO | GGA-PBE | optimized geometry

Geometry as CIF:
```
data_TmNbAsO
_chemical_formula_sum 'Tm2 Nb2 As2 O2'
_space_group_name_H-M_alt 'P 4/n m m'
_space_group_IT_number 129
_cell_length_a 3.931
_cell_length_b 3.931
_cell_length_c 8.919
_cell_angle_alpha 90.00
_cell_angle_beta 90.00
_cell_angle_gamma 90.00
loop_
_space_group_symop_operation_xyz
'x,y,z'
'-x,-y,-z'
'-y+1/2,x,z'
'y+1/2,-x,-z'
'-x+1/2,-y+1/2,z'
'x+1/2,y+1/2,-z'
'y,-x+1/2,z'
'-y,x+1/2,-z'
'x+1/2,-y,-z'
'-x+1/2,y,z'
'-y,-x,-z'
'y,x,z'
'-x,y+1/2,-z'
'x,-y+1/2,z'
'y+1/2,x+1/2,-z'
'-y+1/2,-x+1/2,z'
loop_
_atom_site_label
_atom_site_fract_x
_atom_site_fract_y
_atom_site_fract_z
Tm1 0.250 0.250 0.118
Nb1 0.250 0.750 0.500
As1 0.250 0.250 0.703
O1 0.250 0.750 0.000
```

Calculated values
Crystal system: tetragonal
Relative energy among the computed polymorphs, meV/atom: 0
Uncorrected energy, eV/atom: -7.96


10.
TmNbAsO | GGA-PBE | optimized geometry

Geometry as CIF:
```
data_TmNbAsO
_chemical_formula_sum 'Tm2 Nb2 As2 O2'
_space_group_name_H-M_alt 'P m c 21'
_space_group_IT_number 26
_cell_length_a 3.764
_cell_length_b 7.375
_cell_length_c 5.651
_cell_angle_alpha 90.00
_cell_angle_beta 90.00
_cell_angle_gamma 90.00
loop_
_space_group_symop_operation_xyz
'x,y,z'
'-x,-y,z+1/2'
'-x,y,z'
'x,-y,z+1/2'
loop_
_atom_site_label
_atom_site_fract_x
_atom_site_fract_y
_atom_site_fract_z
Tm1 0.000 0.225 0.000
Nb1 0.500 0.406 0.516
As1 0.000 0.161 0.488
O1 0.500 0.326 0.881
```

Calculated values
Crystal system: orthorhombic
Relative energy among the computed polymorphs, meV/atom: 510
Uncorrected energy, eV/atom: -7.45